A plane-wave DFT calculation with PBE was carried out for a relaxed P2WCl6 crystal.

a b c (Å): 7.5262 8.9495 8.9689
angles (deg): 97.31 100.87 83.60
Each line ends with the local moment (μB).
Positions (direct):
P (0.3691, 0.0076, 0.3180)  0.01
W (0.2023, 0.7055, 0.8065)  0.73
P (0.6309, 0.9924, 0.6820)  0.01
Cl (0.0997, 0.9614, 0.7967)  0.00
P (0.6277, 0.0421, 0.4557)  0.01
Cl (0.8809, 0.3141, 0.9690)  0.02
Cl (0.3018, 0.7265, 0.5391)  0.00
Cl (0.6757, 0.5420, 0.2309)  0.03
Cl (0.9310, 0.6438, 0.6571)  0.00
W (0.7977, 0.2945, 0.1935)  0.73
Cl (0.1191, 0.6859, 0.0310)  0.02
P (0.3723, 0.9579, 0.5443)  0.01
Cl (0.6982, 0.2735, 0.4609)  0.00
Cl (0.5106, 0.2213, 0.0880)  0.00
Cl (0.0690, 0.3562, 0.3429)  0.00
Cl (0.4894, 0.7787, 0.9120)  0.00
Cl (0.9003, 0.0386, 0.2033)  0.00
Cl (0.3243, 0.4580, 0.7691)  0.03

Summary:
- Total energy: -0.1620 hartree per atom
- Energy relative to the elements, uncorrected: -4.8 eV/f.u.